1.
## Li5Zn3 (GGA-PBEsol)

Data for a geometry-optimized Li5Zn3 structure. Values from VASP.

Values from the calculation:
DFT formation energy in meV/atom: -113
DOS(E_F) in states/eV/f.u.: 2.2
Space-group type: Cmmm, No. 65
E above lowest polymorph in meV/atom: 0
Electronic total energy in eV per cell: -15.49

Geometry as Quantum ESPRESSO input:
```
&SYSTEM
  ibrav = 0, nat = 8, ntyp = 2
/
ATOMIC_SPECIES
Zn 65.41 Zn.upf
Li 6.94 Li.upf
CELL_PARAMETERS angstrom
-1.427 -0.854 -3.391
0.701 -5.481 1.086
-5.139 -0.414 2.266
ATOMIC_POSITIONS crystal
Zn 0.000 0.500 0.500
Zn 0.500 0.735 0.265
Zn 0.500 0.265 0.735
Li 0.000 0.000 0.000
Li 0.000 0.000 0.500
Li 0.000 0.500 0.000
Li 0.500 0.251 0.251
Li 0.500 0.749 0.749
```



2.
## LiZn2 (GGA-PBEsol)

Data for a geometry-optimized LiZn2 structure. Values from VASP.

Values from the calculation:
DFT formation energy in meV/atom: -168
DOS(E_F) in states/eV/f.u.: 0.6
Space-group type: Fd-3m, No. 227
Electronic total energy in eV per cell: -11.27

Geometry as Quantum ESPRESSO input:
```
&SYSTEM
  ibrav = 0, nat = 6, ntyp = 2
/
ATOMIC_SPECIES
Zn 65.41 Zn.upf
Li 6.94 Li.upf
CELL_PARAMETERS angstrom
-1.122 4.160 2.630
-1.115 -0.343 4.912
3.239 1.753 3.452
ATOMIC_POSITIONS crystal
Zn 0.125 0.125 0.125
Zn 0.125 0.125 0.625
Zn 0.125 0.625 0.125
Zn 0.625 0.125 0.125
Li 0.500 0.500 0.500
Li 0.750 0.750 0.750
```



3.
## Li2Zn (GGA-PBEsol)

Data for a geometry-optimized Li2Zn structure. Values from VASP.

Values from the calculation:
DFT formation energy in meV/atom: -95
DOS(E_F) in states/eV/f.u.: 1.2
Space-group type: I4/mmm, No. 139
Electronic total energy in eV per cell: -5.80

Geometry as Quantum ESPRESSO input:
```
&SYSTEM
  ibrav = 0, nat = 3, ntyp = 2
/
ATOMIC_SPECIES
Zn 65.41 Zn.upf
Li 6.94 Li.upf
CELL_PARAMETERS angstrom
2.766 0.000 0.000
0.000 2.766 0.000
-1.383 -1.383 6.130
ATOMIC_POSITIONS crystal
Zn 0.000 0.000 0.000
Li 0.345 0.345 0.689
Li 0.655 0.655 0.311
```



4.
## Li2Zn (GGA-PBEsol)

Data for a geometry-optimized Li2Zn structure. Values from VASP.

Values from the calculation:
DFT formation energy in meV/atom: -95
DOS(E_F) in states/eV/f.u.: 0.9
Space-group type: I4/mcm, No. 140
Electronic total energy in eV per cell: -11.60

Geometry as Quantum ESPRESSO input:
```
&SYSTEM
  ibrav = 0, nat = 6, ntyp = 2
/
ATOMIC_SPECIES
Zn 65.41 Zn.upf
Li 6.94 Li.upf
CELL_PARAMETERS angstrom
-1.933 3.906 2.354
-5.115 0.693 -0.138
-1.405 -0.532 4.940
ATOMIC_POSITIONS crystal
Zn 0.250 0.000 0.000
Zn 0.750 0.000 0.000
Li 0.839 0.500 0.822
Li 0.161 0.500 0.178
Li 0.339 0.822 0.500
Li 0.661 0.178 0.500
```